Entry 1:
Crystalline DyHoZn2Pd4 at its relaxed geometry. Source: the Open Quantum Materials Database, functional PBE.

Summary:
Formation enthalpy at 0 K ... -0.747 eV/atom
VASP energy ... -38.39 eV per cell
SG ... P4/mmm

Cell lengths 4.671, 4.671, 6.611 Å; angles 90.00, 90.00, 90.00 degrees
Atoms (fractional coordinates):
Dy  0.000  0.000  0.000
Ho  0.500  0.500  0.500
Pd  0.500  0.000  0.251
Pd  0.000  0.500  0.251
Pd  0.500  0.000  0.749
Pd  0.000  0.500  0.749
Zn  0.500  0.500  0.000
Zn  0.000  0.000  0.500

Entry 2:
Crystalline Pm3Dy2Ho at its relaxed geometry. Source: the Open Quantum Materials Database, functional PBE.

Summary:
Formation enthalpy at 0 K ... -0.005 eV/atom
VASP energy ... -56.09 eV per cell
SG ... Cmcm

Cell lengths 6.237, 6.237, 11.577 Å; angles 90.00, 90.00, 60.00 degrees
Atoms (fractional coordinates):
Dy  0.333  0.000  0.220
Dy  0.000  0.667  0.220
Dy  0.000  0.333  0.720
Dy  0.667  0.000  0.720
Ho  0.667  0.333  0.220
Ho  0.333  0.667  0.720
Pm  0.333  0.334  0.470
Pm  0.666  0.667  0.470
Pm  0.000  0.000  0.470
Pm  0.334  0.333  0.970
Pm  0.667  0.666  0.970
Pm  0.000  0.000  0.970

Entry 3:
Crystalline PrDyHo at its relaxed geometry. Source: the Open Quantum Materials Database, functional PBE.

Summary:
Formation enthalpy at 0 K ... 0.708 eV/atom
VASP energy ... -11.83 eV per cell
SG ... F-43m
Offset from the most stable computed form ... 0.000 eV per atom

Cell lengths 5.470, 5.470, 5.470 Å; angles 60.00, 60.00, 60.00 degrees
Atoms (fractional coordinates):
Dy  0.250  0.250  0.250
Ho  0.000  0.000  0.000
Pr  0.750  0.750  0.750

Entry 4:
Crystalline Pr3Dy2Ho at its relaxed geometry. Source: the Open Quantum Materials Database, functional PBE.

Summary:
Formation enthalpy at 0 K ... -0.003 eV/atom
VASP energy ... -56.24 eV per cell
SG ... Cmcm

Cell lengths 6.302, 6.302, 11.639 Å; angles 90.00, 90.00, 59.97 degrees
Atoms (fractional coordinates):
Dy  0.500  0.167  0.220
Dy  0.833  0.500  0.220
Dy  0.167  0.500  0.720
Dy  0.500  0.833  0.720
Ho  0.166  0.834  0.220
Ho  0.834  0.166  0.720
Pr  0.500  0.500  0.470
Pr  0.166  0.167  0.470
Pr  0.833  0.834  0.470
Pr  0.500  0.500  0.970
Pr  0.167  0.166  0.970
Pr  0.834  0.833  0.970

Question: What is the formation enthalpy at 0 K in the second record?
Answer: -0.005 eV/atom